(1)
Ca2TmTe3: relaxed, PBE.

a b c (Å): 7.657 7.657 7.696
angles (deg): 99.53 99.53 120.00
Positions (direct):
1 Ca 0.000 0.000 0.000
2 Ca 0.164 0.836 0.500
3 Ca 0.500 0.500 0.500
4 Ca 0.836 0.164 0.500
5 Tm 0.333 0.667 0.000
6 Tm 0.667 0.333 0.000
7 Te 0.081 0.421 0.243
8 Te 0.259 0.259 0.759
9 Te 0.421 0.081 0.243
10 Te 0.579 0.919 0.757
11 Te 0.741 0.741 0.241
12 Te 0.919 0.579 0.757

Its crystal system is monoclinic. As for the offset from the most stable computed form: 0 meV/atom. As for the space-group type: C2/m, No. 12. The calculation puts the raw formation energy at -1.482 eV per atom.



(2)
Tl3P: relaxed, PBE.

a b c (Å): 8.113 8.113 8.113
angles (deg): 29.90 29.90 29.90
Positions (direct):
1 Tl 0.000 0.000 0.000
2 Tl 0.231 0.231 0.231
3 Tl 0.769 0.769 0.769
4 P 0.500 0.500 0.500

Its crystal system is trigonal. The value obtained for the formation energy is 0.125 eV/atom. As for the space-group type: R-3m, No. 166.



The following calculated volume values (in Å³/f.u.) correspond, in order, to the records above: 184; 118.